Entry from Alexandria via LeMat-Bulk: a geometry-optimized Li4AgRh structure (PBE).

Cell: 2.679 4.370 7.514 Å, 90.00 90.00 90.00°
Element x y z (fractional)
Li  0.000  0.000  0.155
Li  0.000  0.000  0.845
Li  0.000  0.500  0.319
Li  0.000  0.500  0.681
Ag  0.500  0.000  0.500
Rh  0.500  0.500  0.000

## Properties
- spin magnetization (μB per formula unit) = 0.274
- ΔH_f (0 K) (eV per atom) = -0.148
- Fermi-level density of states (states/eV/f.u.) = 2.87
- crystal system = orthorhombic
- relative energy among the computed polymorphs (meV/atom) = 0.0
- symmetry = Pmmm, No. 47